A geometry-optimized RbFeGeO4 structure. Source: the Alexandria database, functional PBE with a Hubbard U.

Cell and atoms, written as POSCAR:
```
RbFeGeO4
1.0
5.365 0.000 0.000
0.000 5.635 0.000
-1.285 0.000 7.212
Rb Fe Ge O
2 2 2 8
direct
0.173 0.250 0.093
0.827 0.750 0.907
0.163 0.750 0.471
0.837 0.250 0.529
0.375 0.250 0.650
0.625 0.750 0.350
0.140 0.021 0.661
0.140 0.479 0.661
0.319 0.750 0.216
0.468 0.250 0.430
0.532 0.750 0.570
0.681 0.250 0.784
0.860 0.521 0.339
0.860 0.979 0.339
```

Results
**Space group**: No. 11
**Volume**: 109.0 Å³/f.u.
**Final energy**: -5.983 eV/atom